# 1
PBE In5Sn4, optimized geometry; space-group type = No. 139
1.0
-7.3508 7.3508 1.6650
7.3508 -7.3508 1.6650
7.3508 7.3508 -1.6650
In Sn
5 4
direct
0.0000 0.0000 0.0000
0.3141 0.3141 0.6283
0.3141 0.6859 0.0000
0.6859 0.3141 0.0000
0.6859 0.6859 0.3717
0.0000 0.2004 0.2004
0.0000 0.7996 0.7996
0.2004 0.0000 0.2004
0.7996 0.0000 0.7996



# 2
PBE LaPaHg4, optimized geometry; space-group type = No. 216
1.0
0.0000 4.2535 4.2535
4.2535 0.0000 4.2535
4.2535 4.2535 0.0000
La Pa Hg
1 1 4
direct
0.0000 0.0000 0.0000
0.2500 0.2500 0.2500
0.1260 0.6247 0.6247
0.6247 0.1260 0.6247
0.6247 0.6247 0.1260
0.6247 0.6247 0.6247



# 3
PBE Cu2PbICl, optimized geometry; uncorrected formation energy = 544 meV/atom; space-group type = No. 123
1.0
4.9758 0.0000 0.0000
0.0000 4.9758 0.0000
0.0000 0.0000 6.7746
Cu Pb I Cl
2 1 1 1
direct
0.0000 0.5000 0.0000
0.5000 0.0000 0.0000
0.0000 0.0000 0.5000
0.0000 0.0000 0.0000
0.5000 0.5000 0.5000



# 4
PBE Al5Cl, optimized geometry; uncorrected formation energy = 186 meV/atom; space-group type = No. 216
1.0
0.0000 3.8767 3.8767
3.8767 0.0000 3.8767
3.8767 3.8767 0.0000
Al Cl
5 1
direct
0.0000 0.0000 0.0000
0.1248 0.6251 0.6251
0.6251 0.1248 0.6251
0.6251 0.6251 0.1248
0.6251 0.6251 0.6251
0.2500 0.2500 0.2500



# 5
PBE BePb2W, optimized geometry; space-group type = No. 35
1.0
1.9655 -2.3931 0.0000
1.9655 2.3931 0.0000
0.0000 0.0000 9.1807
Be Pb W
1 2 1
direct
0.0000 0.0000 0.0000
0.0000 0.0000 0.6020
0.5000 0.5000 0.2110
0.5000 0.5000 0.8536



# 6
PBE Dy2CdPt3, optimized geometry; space-group type = No. 62
1.0
7.4625 0.0000 0.0000
0.0000 3.8324 0.0000
0.0000 0.0000 17.4382
Dy Cd Pt
8 4 12
direct
0.0971 0.2500 0.2146
0.1508 0.2500 0.4292
0.3492 0.7500 0.9292
0.4029 0.7500 0.7146
0.5971 0.2500 0.2854
0.6508 0.2500 0.0708
0.8492 0.7500 0.5708
0.9029 0.7500 0.7854
0.0099 0.7500 0.0635
0.4901 0.2500 0.5635
0.5099 0.7500 0.4365
0.9901 0.2500 0.9365
0.0843 0.2500 0.6589
0.2082 0.2500 0.8102
0.2253 0.7500 0.5545
0.2747 0.2500 0.0545
0.2918 0.7500 0.3102
0.4157 0.7500 0.1589
0.5843 0.2500 0.8411
0.7082 0.2500 0.6898
0.7253 0.7500 0.9455
0.7747 0.2500 0.4455
0.7918 0.7500 0.1898
0.9157 0.7500 0.3411



# 7
PBE Hg3Pd3Pb5, optimized geometry; space-group type = No. 189
1.0
8.6577 0.0000 0.0000
-4.3289 7.4978 0.0000
0.0000 0.0000 5.3810
Hg Pd Pb
3 3 5
direct
0.0000 0.3804 0.0000
0.3804 0.0000 0.0000
0.6196 0.6196 0.0000
0.0000 0.3703 0.5000
0.3703 0.0000 0.5000
0.6297 0.6297 0.5000
0.0000 0.7591 0.5000
0.2409 0.2409 0.5000
0.3333 0.6667 0.5000
0.6667 0.3333 0.5000
0.7591 0.0000 0.5000



# 8
PBE Mg4B3Ir2, optimized geometry; space-group type = No. 12
1.0
4.3103 -2.4264 0.0000
4.3103 2.4264 0.0000
-2.9763 0.0000 6.2249
Mg B Ir
4 3 2
direct
0.1917 0.1917 0.3411
0.1965 0.1965 0.8588
0.8035 0.8035 0.1412
0.8083 0.8083 0.6589
0.1745 0.8255 0.5000
0.5000 0.5000 0.0000
0.8255 0.1745 0.5000
0.4859 0.4859 0.2823
0.5141 0.5141 0.7177



We obtain energy values of -27.79; -15.67; -12.58; -19.44; -21.63; -34.11; -34.67; -47.23 eV/f.u. for the records listed above, in that order.